(1)
{
  "formula": "Sr3Fe",
  "functional": "GGA-PBE",
  "state": "optimized geometry",
  "formation_energy_ev_per_atom": 0.607,
  "magmom_total_mub_per_cell": 2.56,
  "dos_ef_per_ev_cell": 8.2,
  "lattice": [[3.8228, -3.8286, 0.0000], [3.8228, 3.8286, 0.0000], [0.0000, 0.0000, 5.3341]],
  "species": ["Sr", "Sr", "Sr", "Fe"],
  "frac_coords": [[0.0000, 0.0000, 0.0000], [0.0000, 0.5000, 0.5000], [0.5000, 0.0000, 0.5000], [0.5000, 0.5000, 0.0000]]
}


(2)
{
  "formula": "Sr3Fe",
  "functional": "GGA-PBE",
  "state": "optimized geometry",
  "formation_energy_ev_per_atom": 0.415,
  "magmom_total_mub_per_cell": 2.38,
  "dos_ef_per_ev_cell": 5.7,
  "lattice": [[3.9629, 0.0000, 0.0000], [0.0000, 3.9629, 0.0000], [0.0000, 0.0000, 10.0390]],
  "species": ["Sr", "Sr", "Sr", "Fe"],
  "frac_coords": [[0.0000, 0.0000, 0.0000], [0.5000, 0.5000, 0.3212], [0.5000, 0.5000, 0.6788], [0.0000, 0.0000, 0.5000]]
}


(3)
{
  "formula": "SrFe2",
  "functional": "GGA-PBE",
  "state": "optimized geometry",
  "formation_energy_ev_per_atom": 0.438,
  "magmom_total_mub_per_cell": 7.74,
  "dos_ef_per_ev_cell": 7.0,
  "lattice": [[5.4666, -2.5511, 0.0000], [5.4666, 2.5511, 0.0000], [0.0000, 0.0000, 4.1895]],
  "species": ["Sr", "Sr", "Fe", "Fe", "Fe", "Fe"],
  "frac_coords": [[0.2412, 0.7588, 0.7500], [0.7588, 0.2412, 0.2500], [0.1443, 0.3946, 0.2500], [0.3946, 0.1443, 0.7500], [0.6054, 0.8557, 0.2500], [0.8557, 0.6054, 0.7500]]
}


(4)
{
  "formula": "SrFe",
  "functional": "GGA-PBE",
  "state": "optimized geometry",
  "formation_energy_ev_per_atom": 0.432,
  "magmom_total_mub_per_cell": 2.60,
  "dos_ef_per_ev_cell": 15.4,
  "lattice": [[3.9379, 0.0000, 0.0000], [0.0000, 10.1767, 0.0000], [0.0000, 0.0000, 8.8280]],
  "species": ["Sr", "Sr", "Sr", "Sr", "Sr", "Sr", "Fe", "Fe", "Fe", "Fe", "Fe", "Fe"],
  "frac_coords": [[0.2500, 0.0708, 0.2002], [0.2500, 0.2500, 0.6603], [0.2500, 0.4292, 0.2002], [0.7500, 0.5708, 0.7998], [0.7500, 0.7500, 0.3397], [0.7500, 0.9292, 0.7998], [0.2500, 0.5469, 0.5212], [0.2500, 0.7500, 0.6051], [0.2500, 0.9531, 0.5212], [0.7500, 0.0469, 0.4788], [0.7500, 0.2500, 0.3949], [0.7500, 0.4531, 0.4788]]
}


(5)
{
  "formula": "SrFe",
  "functional": "GGA-PBE",
  "state": "optimized geometry",
  "formation_energy_ev_per_atom": 1.750,
  "magmom_total_mub_per_cell": 13.65,
  "dos_ef_per_ev_cell": 34.8,
  "lattice": [[8.5342, 0.0000, 0.0000], [0.0000, 8.5342, 0.0000], [0.0000, 0.0000, 8.5342]],
  "species": ["Sr", "Sr", "Sr", "Sr", "Sr", "Sr", "Fe", "Fe", "Fe", "Fe", "Fe", "Fe"],
  "frac_coords": [[0.0000, 0.2500, 0.5000], [0.0000, 0.7500, 0.5000], [0.2500, 0.5000, 0.0000], [0.5000, 0.0000, 0.2500], [0.5000, 0.0000, 0.7500], [0.7500, 0.5000, 0.0000], [0.0000, 0.5000, 0.2500], [0.0000, 0.5000, 0.7500], [0.2500, 0.0000, 0.5000], [0.5000, 0.2500, 0.0000], [0.5000, 0.7500, 0.0000], [0.7500, 0.0000, 0.5000]]
}


(6)
{
  "formula": "Sr4Fe",
  "functional": "GGA-PBE",
  "state": "optimized geometry",
  "formation_energy_ev_per_atom": 0.513,
  "magmom_total_mub_per_cell": 2.42,
  "dos_ef_per_ev_cell": 5.7,
  "lattice": [[-3.8226, 3.8226, 3.8226], [3.8226, -3.8226, 3.8226], [3.8226, 3.8226, -3.8226]],
  "species": ["Sr", "Sr", "Sr", "Sr", "Fe"],
  "frac_coords": [[0.0000, 0.0000, 0.5000], [0.0000, 0.5000, 0.0000], [0.5000, 0.0000, 0.0000], [0.5000, 0.5000, 0.5000], [0.0000, 0.0000, 0.0000]]
}


(7)
{
  "formula": "Sr5Fe",
  "functional": "GGA-PBE",
  "state": "optimized geometry",
  "formation_energy_ev_per_atom": 0.400,
  "magmom_total_mub_per_cell": 2.52,
  "dos_ef_per_ev_cell": 9.5,
  "lattice": [[6.2569, 0.0000, 0.0000], [0.0000, 2.3511, 8.9841], [0.0000, -2.3511, 8.9841]],
  "species": ["Sr", "Sr", "Sr", "Sr", "Sr", "Fe"],
  "frac_coords": [[0.0000, 0.0000, 0.0000], [0.0000, 0.2735, 0.2735], [0.5000, 0.1370, 0.1370], [0.5000, 0.4710, 0.4710], [0.5000, 0.8033, 0.8033], [0.0000, 0.6366, 0.6366]]
}


(8)
{
  "formula": "SrFe",
  "functional": "GGA-PBE",
  "state": "optimized geometry",
  "formation_energy_ev_per_atom": 0.474,
  "magmom_total_mub_per_cell": 5.23,
  "dos_ef_per_ev_cell": 4.7,
  "lattice": [[3.4719, 0.0000, 0.0000], [0.0000, 3.4719, 0.0000], [0.0000, 0.0000, 8.8669]],
  "species": ["Sr", "Sr", "Fe", "Fe"],
  "frac_coords": [[0.2500, 0.2500, 0.2054], [0.7500, 0.7500, 0.7946], [0.2500, 0.2500, 0.5434], [0.7500, 0.7500, 0.4566]]
}


(9)
{
  "formula": "SrFe2",
  "functional": "GGA-PBE",
  "state": "optimized geometry",
  "formation_energy_ev_per_atom": 0.428,
  "magmom_total_mub_per_cell": 4.47,
  "dos_ef_per_ev_cell": 7.2,
  "lattice": [[2.0043, -8.9108, 0.0000], [2.0043, 8.9108, 0.0000], [0.0000, 0.0000, 4.0515]],
  "species": ["Sr", "Sr", "Fe", "Fe", "Fe", "Fe"],
  "frac_coords": [[0.1081, 0.8919, 0.7500], [0.8919, 0.1081, 0.2500], [0.2502, 0.7498, 0.2500], [0.3065, 0.6935, 0.7500], [0.6935, 0.3065, 0.2500], [0.7498, 0.2502, 0.7500]]
}


(10)
{
  "formula": "SrFe",
  "functional": "GGA-PBE",
  "state": "optimized geometry",
  "formation_energy_ev_per_atom": 0.549,
  "magmom_total_mub_per_cell": 9.50,
  "dos_ef_per_ev_cell": 7.9,
  "lattice": [[-5.7137, 5.7137, 1.9913], [5.7137, -5.7137, 1.9913], [5.7137, 5.7137, -1.9913]],
  "species": ["Sr", "Sr", "Sr", "Sr", "Fe", "Fe", "Fe", "Fe"],
  "frac_coords": [[0.0000, 0.2601, 0.2601], [0.0000, 0.7399, 0.7399], [0.2601, 0.0000, 0.2601], [0.7399, 0.0000, 0.7399], [0.2849, 0.2849, 0.5697], [0.2849, 0.7151, 0.0000], [0.7151, 0.2849, 0.0000], [0.7151, 0.7151, 0.4303]]
}


(11)
{
  "formula": "Sr3Fe",
  "functional": "GGA-PBE",
  "state": "optimized geometry",
  "formation_energy_ev_per_atom": 0.634,
  "magmom_total_mub_per_cell": 3.48,
  "dos_ef_per_ev_cell": 6.3,
  "lattice": [[0.0000, 4.2473, 4.2473], [4.2473, 0.0000, 4.2473], [4.2473, 4.2473, 0.0000]],
  "species": ["Sr", "Sr", "Sr", "Fe"],
  "frac_coords": [[0.0000, 0.0000, 0.0000], [0.2500, 0.2500, 0.2500], [0.7500, 0.7500, 0.7500], [0.5000, 0.5000, 0.5000]]
}


(12)
{
  "formula": "SrFe",
  "functional": "GGA-PBE",
  "state": "optimized geometry",
  "formation_energy_ev_per_atom": 0.555,
  "magmom_total_mub_per_cell": 4.70,
  "dos_ef_per_ev_cell": 6.6,
  "lattice": [[3.4159, 0.0000, 0.0000], [0.0000, 3.6664, 0.0000], [0.0000, 0.0000, 8.8764]],
  "species": ["Sr", "Sr", "Fe", "Fe"],
  "frac_coords": [[0.2500, 0.2500, 0.2054], [0.7500, 0.7500, 0.7946], [0.2500, 0.7500, 0.4917], [0.7500, 0.2500, 0.5083]]
}


Number 1: final energy -2.77 eV/atom. Number 2: final energy -2.96 eV/atom. Number 3: final energy -5.76 eV/atom. Number 4: final energy -4.64 eV/atom. Number 5: final energy -3.32 eV/atom. Number 6: final energy -2.53 eV/atom. Number 7: final energy -2.41 eV/atom. Number 8: final energy -4.60 eV/atom. Number 9: final energy -5.77 eV/atom. Number 10: final energy -4.52 eV/atom. Number 11: final energy -2.74 eV/atom. Number 12: final energy -4.52 eV/atom.